First-principles (PBE+U) data for Li3Co3SbO8 after structural relaxation, as listed in the Alexandria database.

Lattice parameters (Å, degrees): 6.042 6.067 10.483 73.34 73.36 59.67
Fractional positions:
1 Li 0.000 0.500 0.500
2 Li 0.000 0.500 0.000
3 Li 0.500 0.000 0.000
4 Li 0.765 0.734 0.251
5 Li 0.235 0.266 0.749
6 Li 0.500 0.000 0.500
7 O 0.081 0.112 0.627
8 O 0.845 0.393 0.380
9 O 0.627 0.582 0.630
10 O 0.906 0.347 0.886
11 O 0.639 0.152 0.109
12 O 0.361 0.848 0.891
13 O 0.373 0.418 0.370
14 O 0.094 0.653 0.114
15 O 0.155 0.607 0.620
16 O 0.425 0.379 0.873
17 O 0.636 0.133 0.600
18 O 0.919 0.888 0.373
19 O 0.364 0.867 0.400
20 O 0.876 0.913 0.871
21 O 0.575 0.621 0.127
22 O 0.124 0.087 0.129
23 Co 0.750 0.257 0.250
24 Co 0.500 0.500 0.000
25 Co 0.250 0.743 0.750
26 Co 0.245 0.752 0.249
27 Co 0.000 0.000 0.500
28 Co 0.755 0.248 0.751
29 Sb 0.500 0.500 0.500
30 Sb 0.000 0.000 0.000

For the distance to the lowest polymorph of the same formula, the calculation gives 1 meV per atom. Its total magnetization is 1.88 μB per cell. The total energy is -5.724 eV/atom.